VASP calculation (GGA+U) on a geometry-optimized MnCrO2 structure.

Cell lengths 6.236, 6.236, 6.236 Å; angles 29.08, 29.08, 29.08 degrees
Fractional coordinates of all 4 atoms:
1 Mn 0.000 0.000 0.000
2 Cr 0.500 0.500 0.500
3 O 0.392 0.392 0.392
4 O 0.608 0.608 0.608

Output
distance to the lowest polymorph of the same formula: 0.280 eV/atom
theoretical density: 4553 kg/m3
D(E_F): 1.96 states/eV per cell
magnetization: 8.453 μB per cell